1.
Material: Rb3HfP
Method: DFT, PBEsol
State: relaxed

Geometry as CIF:
```
data_Rb3HfP
_chemical_formula_sum 'Rb3 Hf1 P1'
_cell_length_a 6.415
_cell_length_b 6.415
_cell_length_c 6.415
_cell_angle_alpha 90.00
_cell_angle_beta 90.00
_cell_angle_gamma 90.00
_space_group_name_H-M_alt 'P m -3 m'
_space_group_IT_number 221
_space_group_name_Hall '-P 4 2 3'
loop_
_atom_site_label
_atom_site_type_symbol
_atom_site_fract_x
_atom_site_fract_y
_atom_site_fract_z
Rb1 Rb 0.000 0.000 0.500
Hf1 Hf 0.500 0.500 0.500
P1 P 0.000 0.000 0.000
```

Calculated values
**Energy of formation**: 1138 meV per atom
**Total magnetization**: 2.0 μB/cell

2.
Material: RbHfP2
Method: DFT, PBEsol
State: relaxed

Geometry as CIF:
```
data_RbHfP2
_chemical_formula_sum 'Rb4 Hf4 P8'
_cell_length_a 6.854
_cell_length_b 6.854
_cell_length_c 6.854
_cell_angle_alpha 90.00
_cell_angle_beta 90.00
_cell_angle_gamma 90.00
_space_group_name_H-M_alt 'F m -3 m'
_space_group_IT_number 225
_space_group_name_Hall '-F 4 2 3'
loop_
_atom_site_label
_atom_site_type_symbol
_atom_site_fract_x
_atom_site_fract_y
_atom_site_fract_z
Rb1 Rb 0.000 0.000 0.000
Hf1 Hf 0.000 0.000 0.500
P1 P 0.250 0.250 0.250
```

Calculated values
**Energy of formation**: 136 meV per atom
**Total magnetization**: 0.0 μB/cell

3.
Material: Hf3ReP
Method: DFT, PBEsol
State: relaxed

Geometry as CIF:
```
data_Hf3ReP
_chemical_formula_sum 'Hf3 Re1 P1'
_cell_length_a 4.663
_cell_length_b 4.663
_cell_length_c 4.663
_cell_angle_alpha 90.00
_cell_angle_beta 90.00
_cell_angle_gamma 90.00
_space_group_name_H-M_alt 'P m -3 m'
_space_group_IT_number 221
_space_group_name_Hall '-P 4 2 3'
loop_
_atom_site_label
_atom_site_type_symbol
_atom_site_fract_x
_atom_site_fract_y
_atom_site_fract_z
Hf1 Hf 0.000 0.000 0.500
Re1 Re 0.500 0.500 0.500
P1 P 0.000 0.000 0.000
```

Calculated values
**Energy of formation**: 243 meV per atom
**Total magnetization**: 0.7 μB/cell

4.
Material: HfReP3
Method: DFT, PBEsol
State: relaxed

Geometry as CIF:
```
data_HfReP3
_chemical_formula_sum 'Hf1 Re1 P3'
_cell_length_a 4.569
_cell_length_b 4.569
_cell_length_c 4.569
_cell_angle_alpha 90.00
_cell_angle_beta 90.00
_cell_angle_gamma 90.00
_space_group_name_H-M_alt 'P m -3 m'
_space_group_IT_number 221
_space_group_name_Hall '-P 4 2 3'
loop_
_atom_site_label
_atom_site_type_symbol
_atom_site_fract_x
_atom_site_fract_y
_atom_site_fract_z
Hf1 Hf 0.000 0.000 0.000
Re1 Re 0.500 0.500 0.500
P1 P 0.000 0.500 0.500
```

Calculated values
**Energy of formation**: 621 meV per atom
**Total magnetization**: 0.0 μB/cell

5.
Material: Hf9Re4P
Method: DFT, PBEsol
State: relaxed

Geometry as CIF:
```
data_Hf9Re4P
_chemical_formula_sum 'Hf18 Re8 P2'
_cell_length_a 8.4096
_cell_length_b 8.4096
_cell_length_c 8.5700
_cell_angle_alpha 90.00
_cell_angle_beta 90.00
_cell_angle_gamma 120.00
_space_group_name_H-M_alt 'P 63/m m c'
_space_group_IT_number 194
_space_group_name_Hall '-P 6c 2c'
loop_
_atom_site_label
_atom_site_type_symbol
_atom_site_fract_x
_atom_site_fract_y
_atom_site_fract_z
Hf1 Hf 0.0768 0.5384 0.2500
Hf2 Hf 0.1971 0.3941 0.5480
Re1 Re 0.0000 0.0000 0.0000
Re2 Re 0.1093 0.2186 0.2500
P1 P 0.3333 0.6667 0.7500
```

Calculated values
**Energy of formation**: -461 meV per atom
**Total magnetization**: 0.0 μB/cell

6.
Material: HfRePS2
Method: DFT, PBEsol
State: relaxed

Geometry as CIF:
```
data_HfRePS2
_chemical_formula_sum 'Hf1 Re1 P1 S2'
_cell_length_a 4.739
_cell_length_b 4.739
_cell_length_c 5.099
_cell_angle_alpha 90.00
_cell_angle_beta 90.00
_cell_angle_gamma 90.00
_space_group_name_H-M_alt 'P 4/m m m'
_space_group_IT_number 123
_space_group_name_Hall '-P 4 2'
loop_
_atom_site_label
_atom_site_type_symbol
_atom_site_fract_x
_atom_site_fract_y
_atom_site_fract_z
Hf1 Hf 0.000 0.000 0.000
Re1 Re 0.500 0.500 0.500
P1 P 0.000 0.000 0.500
S1 S 0.000 0.500 0.000
```

Calculated values
**Total magnetization**: 4.2 μB/cell
**E_form (uncorrected)**: 4.43 eV/f.u.